First-principles (PBE) data for CsPrCu2Cl8 after structural relaxation, as listed in Alexandria.

The structure in POSCAR format:
```
CsPrCu2Cl8
1.0
6.1198 -0.7609 -0.0991
2.1479 5.7808 -0.0991
0.2563 0.1556 10.9190
Cl Pr Cs Cu
8 1 1 2
direct
0.2426 0.7869 0.1993
0.2131 0.7574 0.8007
0.7574 0.2131 0.8007
0.3421 0.3421 0.5963
0.6579 0.6579 0.4037
0.7121 0.7121 0.0162
0.2879 0.2879 0.9838
0.7869 0.2426 0.1993
0.0000 0.0000 0.0000
0.0000 0.0000 0.5000
0.6180 0.6180 0.2068
0.3820 0.3820 0.7932
```

Calculated values
Calculated total energy, eV for the cell shown: -44.096
Formation energy (no corrections), eV per atom: -1.292